1 | A geometry-optimized V2HgOs2 structure. Source: Alexandria via LeMat-Bulk, functional PBE-GGA.

a b c (Å): 7.419 7.419 2.860
angles (deg): 90.00 90.00 90.00
Positions (direct):
1 V 0.153 0.347 0.000
2 V 0.347 0.847 0.000
3 V 0.653 0.153 0.000
4 V 0.847 0.653 0.000
5 Hg 0.000 0.000 0.500
6 Hg 0.500 0.500 0.500
7 Os 0.136 0.636 0.500
8 Os 0.364 0.136 0.500
9 Os 0.636 0.864 0.500
10 Os 0.864 0.364 0.500

Calculated values
* size of the total moment: 0.0 μB per cell
* DOS at the Fermi energy: 7.4 states/eV/cell
* space group: No. 127


2 | A geometry-optimized V2HgOs2 structure. Source: Alexandria via LeMat-Bulk, functional PBE-GGA.

a b c (Å): 4.037 4.037 10.638
angles (deg): 90.00 90.00 90.00
Positions (direct):
1 V 0.000 0.500 0.250
2 V 0.000 0.500 0.750
3 V 0.500 0.000 0.250
4 V 0.500 0.000 0.750
5 Hg 0.000 0.000 0.000
6 Hg 0.500 0.500 0.500
7 Os 0.000 0.000 0.380
8 Os 0.000 0.000 0.620
9 Os 0.500 0.500 0.120
10 Os 0.500 0.500 0.880

Calculated values
* size of the total moment: 0.0 μB per cell
* DOS at the Fermi energy: 4.6 states/eV/cell
* space group: No. 139


Least stable structure: 2


1 | A geometry-optimized HgOsW structure. Source: Alexandria via LeMat-Bulk, functional PBE-GGA.

a b c (Å): 2.985 2.985 11.835
angles (deg): 90.00 90.00 90.00
Positions (direct):
1 Hg 0.000 0.000 0.000
2 Hg 0.500 0.500 0.500
3 Os 0.000 0.000 0.313
4 Os 0.500 0.500 0.813
5 W 0.000 0.000 0.689
6 W 0.500 0.500 0.189

Calculated values
* size of the total moment: 0.0 μB per cell
* DOS at the Fermi energy: 4.1 states/eV/cell
* space group: No. 107


2 | A geometry-optimized HgOsW structure. Source: Alexandria via LeMat-Bulk, functional PBE-GGA.

a b c (Å): 6.185 6.185 6.185
angles (deg): 90.00 90.00 90.00
Positions (direct):
1 Hg 0.000 0.000 0.000
2 Hg 0.000 0.500 0.500
3 Hg 0.500 0.000 0.500
4 Hg 0.500 0.500 0.000
5 Os 0.250 0.250 0.750
6 Os 0.250 0.750 0.250
7 Os 0.750 0.250 0.250
8 Os 0.750 0.750 0.750
9 W 0.000 0.000 0.500
10 W 0.000 0.500 0.000
11 W 0.500 0.000 0.000
12 W 0.500 0.500 0.500

Calculated values
* size of the total moment: 0.0 μB per cell
* DOS at the Fermi energy: 16.2 states/eV/cell
* space group: No. 216


3 | A geometry-optimized HgOsW structure. Source: Alexandria via LeMat-Bulk, functional PBE-GGA.

a b c (Å): 2.923 3.855 8.997
angles (deg): 90.00 90.00 90.00
Positions (direct):
1 Hg 0.000 0.000 0.000
2 Hg 0.500 0.500 0.500
3 Os 0.000 0.000 0.683
4 Os 0.500 0.500 0.183
5 W 0.000 0.000 0.316
6 W 0.500 0.500 0.816

Calculated values
* size of the total moment: 0.0 μB per cell
* DOS at the Fermi energy: 5.0 states/eV/cell
* space group: No. 44


Least stable structure: 2


1 | A geometry-optimized HgOsW structure. Source: Alexandria via LeMat-Bulk, functional PBE-GGA.

a b c (Å): 2.992 4.728 14.769
angles (deg): 90.00 90.00 90.00
Positions (direct):
1 Hg 0.000 0.000 0.000
2 Hg 0.000 0.500 0.500
3 Hg 0.500 0.000 0.500
4 Hg 0.500 0.500 0.000
5 Os 0.000 0.000 0.322
6 Os 0.000 0.500 0.822
7 Os 0.500 0.000 0.822
8 Os 0.500 0.500 0.322
9 W 0.000 0.000 0.679
10 W 0.000 0.500 0.179
11 W 0.500 0.000 0.179
12 W 0.500 0.500 0.679

Calculated values
* size of the total moment: 0.0 μB per cell
* DOS at the Fermi energy: 9.5 states/eV/cell
* space group: No. 42


2 | A geometry-optimized HgOsW structure. Source: Alexandria via LeMat-Bulk, functional PBE-GGA.

a b c (Å): 2.866 2.866 7.211
angles (deg): 90.00 90.00 120.00
Positions (direct):
1 Hg 0.000 0.000 0.000
2 Os 0.667 0.333 0.354
3 W 0.333 0.667 0.639

Calculated values
* size of the total moment: 0.0 μB per cell
* DOS at the Fermi energy: 1.9 states/eV/cell
* space group: No. 156


Least stable structure: 1


1 | A geometry-optimized YHg2Os structure. Source: Alexandria via LeMat-Bulk, functional PBE-GGA.

a b c (Å): 5.826 10.449 3.504
angles (deg): 90.00 125.25 90.00
Positions (direct):
1 Y 0.000 0.000 0.000
2 Y 0.500 0.500 0.000
3 Hg 0.250 0.250 0.500
4 Hg 0.250 0.750 0.500
5 Hg 0.750 0.250 0.500
6 Hg 0.750 0.750 0.500
7 Os 0.000 0.500 0.000
8 Os 0.500 0.000 0.000

Calculated values
* size of the total moment: 0.0 μB per cell
* DOS at the Fermi energy: 5.9 states/eV/cell
* space group: No. 12


2 | A geometry-optimized YHg2Os structure. Source: Alexandria via LeMat-Bulk, functional PBE-GGA.

a b c (Å): 6.953 6.953 6.953
angles (deg): 90.00 90.00 90.00
Positions (direct):
1 Y 0.000 0.000 0.000
2 Y 0.000 0.500 0.500
3 Y 0.500 0.000 0.500
4 Y 0.500 0.500 0.000
5 Hg 0.000 0.000 0.500
6 Hg 0.000 0.500 0.000
7 Hg 0.250 0.250 0.750
8 Hg 0.250 0.750 0.250
9 Hg 0.500 0.000 0.000
10 Hg 0.500 0.500 0.500
11 Hg 0.750 0.250 0.250
12 Hg 0.750 0.750 0.750
13 Os 0.250 0.250 0.250
14 Os 0.250 0.750 0.750
15 Os 0.750 0.250 0.750
16 Os 0.750 0.750 0.250

Calculated values
* size of the total moment: 0.0 μB per cell
* DOS at the Fermi energy: 12.5 states/eV/cell
* space group: No. 216


Least stable structure: 1


1 | A geometry-optimized YHg2Os structure. Source: Alexandria via LeMat-Bulk, functional PBE-GGA.

a b c (Å): 6.905 6.905 6.905
angles (deg): 90.00 90.00 90.00
Positions (direct):
1 Y 0.000 0.000 0.000
2 Y 0.000 0.500 0.500
3 Y 0.500 0.000 0.500
4 Y 0.500 0.500 0.000
5 Hg 0.250 0.250 0.250
6 Hg 0.250 0.250 0.750
7 Hg 0.250 0.750 0.250
8 Hg 0.250 0.750 0.750
9 Hg 0.750 0.250 0.250
10 Hg 0.750 0.250 0.750
11 Hg 0.750 0.750 0.250
12 Hg 0.750 0.750 0.750
13 Os 0.000 0.000 0.500
14 Os 0.000 0.500 0.000
15 Os 0.500 0.000 0.000
16 Os 0.500 0.500 0.500

Calculated values
* size of the total moment: 0.0 μB per cell
* DOS at the Fermi energy: 21.7 states/eV/cell
* space group: No. 225


2 | A geometry-optimized YHg2Os structure. Source: Alexandria via LeMat-Bulk, functional PBE-GGA.

a b c (Å): 3.631 4.202 6.119
angles (deg): 90.00 107.09 90.00
Positions (direct):
1 Y 0.000 0.000 0.000
2 Hg 0.271 0.000 0.543
3 Hg 0.660 0.500 0.326
4 Os 0.426 0.500 0.850

Calculated values
* size of the total moment: 0.0 μB per cell
* DOS at the Fermi energy: 1.8 states/eV/cell
* space group: No. 6


Least stable structure: 1


1 | A geometry-optimized YHg2Os structure. Source: Alexandria via LeMat-Bulk, functional PBE-GGA.

a b c (Å): 4.329 4.329 8.781
angles (deg): 90.00 90.00 90.00
Positions (direct):
1 Y 0.000 0.000 0.000
2 Y 0.500 0.500 0.500
3 Hg 0.000 0.000 0.500
4 Hg 0.000 0.500 0.250
5 Hg 0.500 0.000 0.750
6 Hg 0.500 0.500 0.000
7 Os 0.000 0.500 0.750
8 Os 0.500 0.000 0.250

Calculated values
* size of the total moment: 0.0 μB per cell
* DOS at the Fermi energy: 4.6 states/eV/cell
* space group: No. 119


2 | A geometry-optimized YHg2Os structure. Source: Alexandria via LeMat-Bulk, functional PBE-GGA.

a b c (Å): 3.457 3.457 26.610
angles (deg): 90.00 90.00 120.00
Positions (direct):
1 Y 0.000 0.000 0.000
2 Y 0.333 0.667 0.667
3 Y 0.667 0.333 0.333
4 Hg 0.000 0.000 0.239
5 Hg 0.000 0.000 0.483
6 Hg 0.333 0.667 0.150
7 Hg 0.333 0.667 0.905
8 Hg 0.667 0.333 0.572
9 Hg 0.667 0.333 0.816
10 Os 0.000 0.000 0.739
11 Os 0.333 0.667 0.406
12 Os 0.667 0.333 0.072

Calculated values
* size of the total moment: 0.0 μB per cell
* DOS at the Fermi energy: 5.9 states/eV/cell
* space group: No. 160


3 | A geometry-optimized YHg2Os structure. Source: Alexandria via LeMat-Bulk, functional PBE-GGA.

a b c (Å): 4.180 4.180 20.870
angles (deg): 90.00 90.00 90.00
Positions (direct):
1 Y 0.000 0.000 0.000
2 Y 0.000 0.500 0.250
3 Y 0.500 0.000 0.750
4 Y 0.500 0.500 0.500
5 Hg 0.222 0.250 0.625
6 Hg 0.250 0.722 0.875
7 Hg 0.250 0.778 0.375
8 Hg 0.278 0.250 0.125
9 Hg 0.722 0.750 0.125
10 Hg 0.750 0.222 0.375
11 Hg 0.750 0.278 0.875
12 Hg 0.778 0.750 0.625
13 Os 0.000 0.000 0.500
14 Os 0.000 0.500 0.750
15 Os 0.500 0.000 0.250
16 Os 0.500 0.500 0.000

Calculated values
* size of the total moment: 0.0 μB per cell
* DOS at the Fermi energy: 9.8 states/eV/cell
* space group: No. 122


Least stable structure: 3